Entry 1:
! LaSmAu2 PBE relaxed; values from VASP
&SYSTEM
  ibrav = 0, nat = 4, ntyp = 3
/
ATOMIC_SPECIES
La 138.91 La.upf
Sm 150.36 Sm.upf
Au 196.97 Au.upf
ATOMIC_POSITIONS angstrom
La 0.000 0.000 0.000
Sm 0.000 0.000 18.909
Au 0.000 0.000 5.586
Au 0.000 0.000 9.519
CELL_PARAMETERS angstrom
2.105 1.215 7.599
-2.105 1.215 7.599
0.000 -2.430 7.599
! crystal system: trigonal
! energy: -4.73 eV/atom

***

Entry 2:
! ZnRePd PBE relaxed; values from VASP
&SYSTEM
  ibrav = 0, nat = 6, ntyp = 3
/
ATOMIC_SPECIES
Zn 65.41 Zn.upf
Re 186.21 Re.upf
Pd 106.42 Pd.upf
ATOMIC_POSITIONS angstrom
Zn 0.000 0.000 0.000
Zn 1.842 0.000 3.313
Re 4.359 0.000 0.736
Re 9.054 0.000 0.949
Pd 6.589 0.000 2.318
Pd 11.019 0.000 3.105
CELL_PARAMETERS angstrom
6.840 -1.382 0.000
6.840 1.382 0.000
-0.642 0.000 4.720
! excess energy over the best structure of this formula in the dataset: 17 meV per atom
! crystal system: monoclinic
! energy: -6.28 eV/atom

***

Entry 3:
! SmWC PBE relaxed; values from VASP
&SYSTEM
  ibrav = 0, nat = 6, ntyp = 3
/
ATOMIC_SPECIES
Sm 150.36 Sm.upf
W 183.84 W.upf
C 12.01 C.upf
ATOMIC_POSITIONS angstrom
Sm 1.266 0.000 1.165
Sm 3.799 0.000 4.181
W 1.266 2.020 3.487
W 3.799 2.020 1.859
C 1.266 0.000 3.856
C 3.799 0.000 1.490
CELL_PARAMETERS angstrom
5.065 0.000 0.000
0.000 4.040 0.000
0.000 0.000 5.346
! excess energy over the best structure of this formula in the dataset: 0 meV per atom
! crystal system: orthorhombic
! energy: -8.85 eV/atom

***

Entry 4:
! Tl2CdF5 PBE relaxed; values from VASP
&SYSTEM
  ibrav = 0, nat = 8, ntyp = 3
/
ATOMIC_SPECIES
Tl 204.38 Tl.upf
Cd 112.41 Cd.upf
F 19.00 F.upf
ATOMIC_POSITIONS angstrom
Tl 0.000 3.082 0.000
Tl 3.082 0.000 0.000
Cd 0.000 0.000 2.134
F 0.000 0.000 0.000
F 1.543 1.543 2.134
F 1.543 4.620 2.134
F 4.620 1.543 2.134
F 4.620 4.620 2.134
CELL_PARAMETERS angstrom
6.163 0.000 0.000
0.000 6.163 0.000
0.000 0.000 4.268
! crystal system: tetragonal
! energy: -3.55 eV/atom
! formation energy (no corrections): -13.4 eV per formula unit

***

Entry 5:
! PaHgPb2O6 PBE relaxed; values from VASP
&SYSTEM
  ibrav = 0, nat = 10, ntyp = 4
/
ATOMIC_SPECIES
Pa 231.04 Pa.upf
Hg 200.59 Hg.upf
Pb 207.20 Pb.upf
O 16.00 O.upf
ATOMIC_POSITIONS angstrom
Pa 0.000 0.000 0.000
Hg 4.437 0.000 2.551
Pb 0.737 0.000 4.091
Pb 8.137 0.000 1.010
O 4.252 1.509 0.787
O 1.047 0.000 1.737
O 4.622 1.509 4.314
O 4.252 -1.509 0.787
O 7.827 0.000 3.364
O 4.622 -1.509 4.314
CELL_PARAMETERS angstrom
5.784 -3.013 0.000
5.784 3.013 0.000
-2.695 0.000 5.101
! crystal system: monoclinic
! energy: -6.36 eV/atom
! formation energy (no corrections): -16.7 eV per formula unit

***

Entry 6:
! ThScRh4 PBE relaxed; values from VASP
&SYSTEM
  ibrav = 0, nat = 6, ntyp = 3
/
ATOMIC_SPECIES
Th 232.04 Th.upf
Sc 44.96 Sc.upf
Rh 102.91 Rh.upf
ATOMIC_POSITIONS angstrom
Th 0.000 0.000 0.000
Sc 1.884 1.884 1.884
Rh 4.704 2.831 2.831
Rh 2.831 4.704 2.831
Rh 2.831 2.831 4.704
Rh 4.704 4.704 4.704
CELL_PARAMETERS angstrom
0.000 3.768 3.768
3.768 0.000 3.768
3.768 3.768 0.000
! excess energy over the best structure of this formula in the dataset: 0 meV per atom
! crystal system: cubic
! energy: -7.91 eV/atom